Record 1
Li2AgI4 | PBE | relaxed

The structure belongs to space group C2/m (No. 12); the cell edges are 15.024, 4.391 and 7.250 Å and the angles 90.00°, 116.00° and 90.00°. The distinct sites, in fractional coordinates, are Li at (0.240, 0.000, 0.274), Ag at (0.000, 0.500, 0.500), I at (0.119, 0.500, 0.295) and I at (0.139, 0.000, 0.799).

As for the total energy: -35.09 eV per cell. The energy above the most stable polymorph in this dataset comes out at 0 meV per atom.

---

Record 2
Li6AgI8 | PBE | relaxed

The structure belongs to space group R-3 (No. 148, hexagonal axes); the cell edges are 11.5126, 11.5126 and 14.5375 Å and the angles 90.00°, 90.00° and 120.00°. The distinct sites, in fractional coordinates, are Li at (0.0272, 0.7800, 0.4127), Ag at (0.0000, 0.0000, 0.0000), I at (0.0000, 0.0000, 0.1787) and I at (0.0300, 0.7674, 0.6072).

As for the total energy: -120.46 eV per cell.

---

Record 3
LiAgI2 | PBE | relaxed

The structure belongs to space group Cm (No. 8); the cell edges are 8.025, 4.644 and 7.497 Å and the angles 90.00°, 90.05° and 90.00°. The distinct sites, in fractional coordinates, are Li at (0.000, 0.000, 0.000), Ag at (0.170, 0.500, 0.509), I at (0.003, 0.000, 0.374) and I at (0.167, 0.500, 0.891).

As for the total energy: -21.61 eV per cell. The energy above the most stable polymorph in this dataset comes out at 1 meV per atom.

---

Record 4
LiAgI2 | PBE | relaxed

The structure belongs to space group I-42d (No. 122); the cell edges are 6.516, 6.516 and 13.081 Å and the angles 90.00°, 90.00° and 90.00°. The distinct sites, in fractional coordinates, are Li at (0.000, 0.000, 0.000), Ag at (0.000, 0.000, 0.500) and I at (0.239, 0.250, 0.125).

As for the total energy: -43.23 eV per cell. The energy above the most stable polymorph in this dataset comes out at 0 meV per atom.

---

Record 5
LiAg2I3 | PBE | relaxed

The structure belongs to space group Cc (No. 9); the cell edges are 8.025, 13.889 and 8.050 Å and the angles 90.00°, 109.62° and 90.00°. The distinct sites, in fractional coordinates, are Li at (0.000, 0.083, 0.000), Ag at (0.002, 0.247, 0.504), Ag at (0.002, 0.418, 0.002), I at (0.369, 0.085, 0.124), I at (0.380, 0.253, 0.626) and I at (0.381, 0.422, 0.133).

As for the total energy: -62.88 eV per cell. The energy above the most stable polymorph in this dataset comes out at 0 meV per atom.

---

Record 6
LiAgI3 | PBE | relaxed

The structure belongs to space group Pm-3m (No. 221); the cell edges are 5.535, 5.535 and 5.535 Å and the angles 90.00°, 90.00° and 90.00°. The distinct sites, in fractional coordinates, are Li at (0.000, 0.000, 0.000), Ag at (0.500, 0.500, 0.500) and I at (0.000, 0.000, 0.500).

As for the total energy: -9.84 eV per cell. The energy above the most stable polymorph in this dataset comes out at 404 meV per atom.

---

For reference, mass density by record: 4.86 3.48 4.38 4.41 4.74 4.85 g cm⁻³.